Record 1
The following is a DFT calculation (PBE-GGA) of a relaxed structure of BaCa2P2N6.

E_tot   -6.629 eV per atom
Crystal system   triclinic
Calculated volume   19.2 Å³ per atom
D(E_F)   1.71 states/eV/cell
Formation energy (no corrections)   -6.2 eV/f.u.

Cell and atoms, written as POSCAR:
```
BaCa2P2N6
1.0
-3.399 2.397 -5.690
-2.681 -3.527 -5.489
-3.317 -0.149 5.467
Ba Ca P N
1 2 2 6
Cartesian
-3.358 1.124 -0.112
-6.214 0.698 -2.687
-3.183 -1.976 -3.025
-4.703 -2.055 -0.420
-4.694 0.776 -5.292
-4.912 -0.782 -1.329
-4.968 0.683 -6.836
-7.983 -1.001 -6.928
-4.428 -1.962 1.123
-1.413 -0.277 1.216
-4.484 -0.496 -4.383
```


Record 2
The following is a DFT calculation (PBE-GGA) of a relaxed structure of Ba3CaP2N6.

E_tot   -6.600 eV per atom
Crystal system   trigonal
Calculated volume   19.1 Å³ per atom
D(E_F)   0.02 states/eV/cell
Formation energy (no corrections)   -10.7 eV/f.u.

Cell and atoms, written as POSCAR:
```
Ba3CaP2N6
1.0
-1.942 2.877 -4.973
2.868 -5.320 -0.500
-6.296 -3.439 0.469
Ba Ca P N
3 1 2 6
Cartesian
-3.119 -4.982 -1.665
-2.251 -0.900 -3.340
0.000 0.000 0.000
-3.148 -1.719 0.234
-4.942 -2.369 -3.139
-0.428 -3.512 -1.865
-0.652 -3.485 -3.441
-1.073 -2.376 -0.956
0.229 -4.791 -1.183
-4.297 -3.506 -4.049
-4.718 -2.397 -1.564
-5.599 -1.090 -3.822
```


> Which formula does entry 2 have?

Ba3CaP2N6


> What is the D(E_F) in the second record?

0.02 states/eV/cell